No. 1
The following is a GGA-PBE calculation of crystalline TaRuW2 at its relaxed geometry, from the Alexandria database.

abc: 4.454 2.794 5.259
angles: 79.55 90.00 90.00
Fractional positions:
Ru 0.000 0.504 0.505
W 0.500 0.238 0.242
W 0.000 0.004 0.007
Ta 0.500 0.754 0.746

Properties
Density of states at the Fermi level: 0.84 states/eV per atom
M_tot: 0.00 μB per cell
DFT formation energy: -0.009 eV per atom
Energy above the lowest structure with this stoichiometry: 67.8 meV per atom

=====

No. 2
The following is a GGA-PBE calculation of crystalline LiEuLuSi at its relaxed geometry, from the Alexandria database.

abc: 5.044 5.044 5.044
angles: 60.00 60.00 60.00
Each line ends with the local moment (μB).
Fractional positions:
Lu 0.500 0.500 0.500  0.15
Li 0.250 0.250 0.250  0.03
Eu 0.000 0.000 0.000  6.85
Si 0.750 0.750 0.750  -0.04

Properties
Density of states at the Fermi level: 1.01 states/eV per atom
M_tot: 7.38 μB per cell
Formation energy (no corrections): -25.6 kJ per mole of atoms

=====

No. 3
The following is a GGA-PBE calculation of crystalline Dy5HgAu2 at its relaxed geometry, from the Alexandria database.

abc: 5.393 7.726 12.285
angles: 90.00 90.00 110.43
Fractional positions:
Au 0.808 0.616 0.484
Au 0.192 0.384 0.984
Au 0.808 0.616 0.016
Au 0.192 0.384 0.516
Hg 0.790 0.581 0.750
Hg 0.210 0.419 0.250
Dy 0.383 0.766 0.421
Dy 0.968 0.937 0.621
Dy 0.383 0.766 0.079
Dy 0.968 0.937 0.879
Dy 0.032 0.063 0.379
Dy 0.032 0.063 0.121
Dy 0.210 0.419 0.750
Dy 0.617 0.234 0.579
Dy 0.790 0.581 0.250
Dy 0.617 0.234 0.921

Properties
Density of states at the Fermi level: 0.76 states/eV per atom
M_tot: 0.00 μB per cell
DFT formation energy: -0.253 eV per atom
Energy above the lowest structure with this stoichiometry: 303.1 meV per atom